Record 1
A relaxed structure of CdW2SeO, computed with GGA+U.

Cell lengths 4.099, 4.099, 6.011 Å; angles 90.00, 90.00, 90.00 degrees
Positions (direct):
Cd  0.000  0.000  0.000
W  0.000  0.500  0.500
W  0.500  0.000  0.500
Se  0.500  0.500  0.000
O  0.500  0.500  0.500

Computed properties:
crystal system	tetragonal
density of states at the Fermi level	3.0	states/eV/cell
M_tot	4.16	μB/f.u.

Record 2
A relaxed structure of Ca3Mn3GaO8, computed with GGA+U.

Cell lengths 6.512, 6.512, 6.481 Å; angles 119.35, 119.35, 56.94 degrees
Positions (direct):
Ca  0.000  0.000  0.000
Ca  0.000  0.500  0.000
Ca  0.500  0.000  0.000
Mn  0.000  0.500  0.500
Mn  0.500  0.000  0.500
Mn  0.500  0.500  0.500
Ga  0.000  0.000  0.500
O  0.213  0.213  0.699
O  0.242  0.242  0.253
O  0.253  0.744  0.708
O  0.256  0.747  0.292
O  0.744  0.253  0.708
O  0.747  0.256  0.292
O  0.758  0.758  0.747
O  0.787  0.787  0.301

Computed properties:
crystal system	monoclinic
density of states at the Fermi level	0.7	states/eV/cell
M_tot	14.00	μB/f.u.

| no. | DFT total energy (eV per atom) | theoretical density (g cm⁻³) |
| --- | --- | --- |
| 1 | -4.202 | 9.5 |
| 2 | -6.889 | 4.2 |